Entry 1:
Density functional theory data (GGA-PBE) for crystalline CuAg2Au at its relaxed geometry.

The structure in POSCAR format:
```
CuAg2Au
1.0
3.101 0.000 0.000
0.000 4.590 0.000
0.000 0.000 9.315
Cu Ag Au
2 4 2
Direct
0.000 0.000 0.000 Cu
0.500 0.500 0.500 Cu
0.000 0.500 0.266 Ag
0.000 0.500 0.734 Ag
0.500 0.000 0.234 Ag
0.500 0.000 0.766 Ag
0.000 0.000 0.500 Au
0.500 0.500 0.000 Au
```

* relative energy among the computed polymorphs: 58 meV/atom
* energy of formation from the pure elements: 49 meV/atom
* N(E_F): 0.336 states/eV per atom

Entry 2:
Density functional theory data (GGA-PBE) for crystalline CuAgAu at its relaxed geometry.

The structure in POSCAR format:
```
CuAgAu
1.0
2.840 0.000 0.000
0.000 4.211 0.000
-1.362 0.000 8.072
Cu Ag Au
2 2 2
Direct
0.000 0.000 0.000 Cu
0.062 0.500 0.164 Cu
0.241 0.500 0.495 Ag
0.828 0.000 0.669 Ag
0.429 0.500 0.868 Au
0.635 0.000 0.297 Au
```

* relative energy among the computed polymorphs: 7 meV/atom
* energy of formation from the pure elements: -12 meV/atom
* N(E_F): 0.174 states/eV per atom

Entry 3:
Density functional theory data (GGA-PBE) for crystalline CuAg7Au3 at its relaxed geometry.

The structure in POSCAR format:
```
CuAg7Au3
1.0
5.797 0.000 0.000
-2.898 5.020 0.000
0.000 0.000 7.020
Cu Ag Au
1 7 3
Direct
0.000 0.000 0.000 Cu
0.332 0.166 0.342 Ag
0.333 0.667 0.350 Ag
0.502 0.004 0.009 Ag
0.502 0.498 0.009 Ag
0.834 0.166 0.342 Ag
0.834 0.668 0.342 Ag
0.996 0.498 0.009 Ag
0.165 0.330 0.683 Au
0.165 0.835 0.683 Au
0.670 0.835 0.683 Au
```

* energy of formation from the pure elements: 66 meV/atom
* N(E_F): 0.411 states/eV per atom

Entry 4:
Density functional theory data (GGA-PBE) for crystalline CuAgAu2 at its relaxed geometry.

The structure in POSCAR format:
```
CuAgAu2
1.0
6.455 0.000 0.000
0.000 6.455 0.000
0.000 0.000 6.455
Cu Ag Au
4 4 8
Direct
0.000 0.000 0.000 Cu
0.000 0.500 0.500 Cu
0.500 0.000 0.500 Cu
0.500 0.500 0.000 Cu
0.250 0.250 0.750 Ag
0.250 0.750 0.250 Ag
0.750 0.250 0.250 Ag
0.750 0.750 0.750 Ag
0.000 0.000 0.500 Au
0.000 0.500 0.000 Au
0.250 0.250 0.250 Au
0.250 0.750 0.750 Au
0.500 0.000 0.000 Au
0.500 0.500 0.500 Au
0.750 0.250 0.750 Au
0.750 0.750 0.250 Au
```

* relative energy among the computed polymorphs: 89 meV/atom
* energy of formation from the pure elements: 40 meV/atom
* N(E_F): 0.400 states/eV per atom

Entry 5:
Density functional theory data (GGA-PBE) for crystalline CuAg2Au at its relaxed geometry.

The structure in POSCAR format:
```
CuAg2Au
1.0
6.439 0.000 0.000
0.000 6.439 0.000
0.000 0.000 6.439
Cu Ag Au
4 8 4
Direct
0.000 0.000 0.000 Cu
0.000 0.500 0.500 Cu
0.500 0.000 0.500 Cu
0.500 0.500 0.000 Cu
0.000 0.000 0.500 Ag
0.000 0.500 0.000 Ag
0.250 0.250 0.750 Ag
0.250 0.750 0.250 Ag
0.500 0.000 0.000 Ag
0.500 0.500 0.500 Ag
0.750 0.250 0.250 Ag
0.750 0.750 0.750 Ag
0.250 0.250 0.250 Au
0.250 0.750 0.750 Au
0.750 0.250 0.750 Au
0.750 0.750 0.250 Au
```

* relative energy among the computed polymorphs: 66 meV/atom
* energy of formation from the pure elements: 57 meV/atom
* N(E_F): 0.288 states/eV per atom

Entry 6:
Density functional theory data (GGA-PBE) for crystalline CuAgAu at its relaxed geometry.

The structure in POSCAR format:
```
CuAgAu
1.0
2.874 0.000 0.000
0.000 2.874 0.000
0.000 0.000 11.678
Cu Ag Au
2 2 2
Direct
0.000 0.000 0.000 Cu
0.500 0.500 0.500 Cu
0.000 0.000 0.342 Ag
0.500 0.500 0.842 Ag
0.000 0.000 0.655 Au
0.500 0.500 0.155 Au
```

* relative energy among the computed polymorphs: 21 meV/atom
* energy of formation from the pure elements: 3 meV/atom
* N(E_F): 0.165 states/eV per atom

Entry 7:
Density functional theory data (GGA-PBE) for crystalline CuAg2Au at its relaxed geometry.

The structure in POSCAR format:
```
CuAg2Au
1.0
2.887 0.000 0.000
0.000 3.759 0.000
0.000 0.000 6.136
Cu Ag Au
1 2 1
Direct
0.000 0.000 0.000 Cu
0.000 0.000 0.504 Ag
0.500 0.500 0.239 Ag
0.500 0.500 0.776 Au
```

* relative energy among the computed polymorphs: 37 meV/atom
* energy of formation from the pure elements: 28 meV/atom
* N(E_F): 0.305 states/eV per atom

Entry 8:
Density functional theory data (GGA-PBE) for crystalline Cu2Ag3Au3 at its relaxed geometry.

The structure in POSCAR format:
```
Cu2Ag3Au3
1.0
3.796 2.192 2.831
-3.796 2.192 2.831
0.000 -4.383 2.831
Cu Ag Au
2 3 3
Direct
0.185 0.185 0.185 Cu
0.815 0.815 0.815 Cu
0.197 0.500 0.803 Ag
0.500 0.803 0.197 Ag
0.803 0.197 0.500 Ag
0.000 0.681 0.319 Au
0.319 0.000 0.681 Au
0.681 0.319 0.000 Au
```

* relative energy among the computed polymorphs: 101 meV/atom
* energy of formation from the pure elements: 83 meV/atom
* N(E_F): 0.205 states/eV per atom